[1]
{"formula": "SrMgZn", "functional": "PBE-GGA", "state": "relaxed", "cell": [[-1.891, 2.729, -4.229], [-5.038, -0.817, -1.693], [-3.726, 3.812, 0.708]], "species": ["Zn", "Mg", "Sr"], "fractional_positions": [[0.000, 0.000, 0.000], [0.500, 0.500, 0.500], [0.750, 0.750, 0.750]], "sg": "F-43m", "delta_e_f_ev_per_fu": 1.17}



[2]
{"formula": "SrMgZn", "functional": "PBE-GGA", "state": "relaxed", "cell": [[5.015, 0.000, 0.000], [0.000, 7.282, 0.000], [-2.507, -3.641, 7.433]], "species": ["Zn", "Zn", "Zn", "Sr", "Sr", "Sr", "Mg", "Mg", "Mg"], "fractional_positions": [[0.832, 0.261, 0.664], [0.500, 0.481, 0.000], [0.168, 0.597, 0.336], [0.000, 0.764, 0.000], [0.352, 0.993, 0.705], [0.648, 0.288, 0.295], [0.680, 0.818, 0.359], [0.000, 0.277, 0.000], [0.320, 0.458, 0.641]], "sg": "Imm2", "delta_e_f_ev_per_fu": -0.24}



[3]
{"formula": "SrMg2Zn2", "functional": "PBE-GGA", "state": "relaxed", "cell": [[8.536, 0.000, 0.000], [0.000, 8.536, 0.000], [0.000, 0.000, 3.094]], "species": ["Zn", "Zn", "Zn", "Zn", "Sr", "Sr", "Mg", "Mg", "Mg", "Mg"], "fractional_positions": [[0.669, 0.831, 0.500], [0.831, 0.331, 0.500], [0.331, 0.169, 0.500], [0.169, 0.669, 0.500], [0.500, 0.500, 0.000], [0.000, 0.000, 0.000], [0.626, 0.126, 0.000], [0.874, 0.626, 0.000], [0.126, 0.374, 0.000], [0.374, 0.874, 0.000]], "sg": "P4/mbm", "delta_e_f_ev_per_fu": -0.17}



[4]
{"formula": "SrMgZn", "functional": "PBE-GGA", "state": "relaxed", "cell": [[4.892, 0.000, 0.000], [-2.446, 4.236, 0.000], [0.000, 0.000, 4.263]], "species": ["Mg", "Zn", "Sr"], "fractional_positions": [[0.000, 0.000, 0.834], [0.333, 0.667, 0.833], [0.667, 0.333, 0.334]], "sg": "P-6m2", "delta_e_f_ev_per_fu": -0.34}



[5]
{"formula": "Sr2Mg12Zn7", "functional": "PBE-GGA", "state": "relaxed", "cell": [[-0.632, -2.262, 3.536], [-11.021, -0.797, -2.481], [7.230, -7.872, -3.743]], "species": ["Mg", "Mg", "Mg", "Mg", "Mg", "Mg", "Mg", "Mg", "Mg", "Mg", "Mg", "Mg", "Zn", "Zn", "Zn", "Zn", "Zn", "Zn", "Zn", "Sr", "Sr"], "fractional_positions": [[0.500, 0.206, 0.444], [0.000, 0.453, 0.509], [0.500, 0.902, 0.618], [0.500, 0.238, 0.794], [0.500, 0.556, 0.762], [0.000, 0.952, 0.235], [0.000, 0.283, 0.048], [0.000, 0.056, 0.547], [0.000, 0.765, 0.717], [0.500, 0.716, 0.098], [0.500, 0.382, 0.284], [0.000, 0.491, 0.944], [0.500, 0.625, 0.541], [0.000, 0.051, 0.795], [0.000, 0.205, 0.256], [0.000, 0.744, 0.949], [0.000, 0.333, 0.667], [0.500, 0.916, 0.375], [0.500, 0.459, 0.084], [0.500, 0.000, 0.000], [0.000, 0.667, 0.333]], "sg": "P-6", "delta_e_f_ev_per_fu": -2.57}



[6]
{"formula": "SrMgZn2", "functional": "PBE-GGA", "state": "relaxed", "cell": [[-3.794, 6.940, 1.874], [0.561, -4.087, 2.846], [1.415, 2.249, 2.944]], "species": ["Zn", "Zn", "Sr", "Mg"], "fractional_positions": [[0.500, 0.000, 0.500], [0.000, 0.000, 0.000], [0.500, 0.500, 0.000], [0.000, 0.500, 0.500]], "sg": "P4/mmm", "delta_e_f_ev_per_fu": -0.09}



[7]
{"formula": "SrMg14Zn", "functional": "PBE-GGA", "state": "relaxed", "cell": [[-6.028, -2.176, -1.206], [2.417, -0.275, 6.050], [-3.837, 9.538, 1.967]], "species": ["Mg", "Mg", "Mg", "Mg", "Mg", "Mg", "Mg", "Mg", "Mg", "Mg", "Mg", "Mg", "Mg", "Mg", "Zn", "Sr"], "fractional_positions": [[0.667, 0.833, 0.766], [0.992, 0.496, 0.000], [0.167, 0.833, 0.234], [0.167, 0.833, 0.766], [0.504, 0.008, 0.000], [0.667, 0.833, 0.234], [0.167, 0.333, 0.766], [0.494, 0.987, 0.500], [0.167, 0.333, 0.234], [0.667, 0.333, 0.739], [0.504, 0.496, 0.000], [0.494, 0.506, 0.500], [0.667, 0.333, 0.261], [0.013, 0.506, 0.500], [0.000, 0.000, 0.000], [0.000, 0.000, 0.500]], "sg": "P-6m2", "delta_e_f_ev_per_fu": 0.64}



[8]
{"formula": "SrMgZn3", "functional": "PBE-GGA", "state": "relaxed", "cell": [[-3.366, -1.323, -3.586], [-2.391, -3.000, 3.350], [-2.983, 3.897, 1.361]], "species": ["Zn", "Zn", "Zn", "Mg", "Sr"], "fractional_positions": [[0.000, 0.000, 0.500], [0.500, 0.000, 0.000], [0.000, 0.500, 0.000], [0.000, 0.000, 0.000], [0.500, 0.500, 0.500]], "sg": "Pm-3m", "delta_e_f_ev_per_fu": 0.77}



[9]
{"formula": "SrMg2Zn", "functional": "PBE-GGA", "state": "relaxed", "cell": [[-1.310, -0.873, -6.373], [0.444, -4.787, 2.900], [-3.382, -0.684, -0.007]], "species": ["Mg", "Mg", "Sr", "Zn"], "fractional_positions": [[0.000, 0.000, 0.000], [0.000, 0.500, 0.500], [0.500, 0.500, 0.000], [0.500, 0.000, 0.500]], "sg": "C2/m", "delta_e_f_ev_per_fu": 0.44}



[10]
{"formula": "Sr3MgZn7", "functional": "PBE-GGA", "state": "relaxed", "cell": [[-0.037, -2.490, 3.572], [-6.069, -5.385, -6.469], [10.172, -6.308, -4.292]], "species": ["Zn", "Zn", "Zn", "Zn", "Zn", "Zn", "Zn", "Zn", "Zn", "Zn", "Zn", "Zn", "Zn", "Zn", "Mg", "Mg", "Sr", "Sr", "Sr", "Sr", "Sr", "Sr"], "fractional_positions": [[0.273, 0.545, 0.468], [0.630, 0.259, 0.847], [0.488, 0.977, 0.099], [0.488, 0.977, 0.401], [0.570, 0.141, 0.250], [0.512, 0.023, 0.901], [0.727, 0.455, 0.532], [0.430, 0.859, 0.750], [0.630, 0.259, 0.653], [0.727, 0.455, 0.968], [0.370, 0.741, 0.153], [0.273, 0.545, 0.032], [0.370, 0.741, 0.347], [0.512, 0.023, 0.599], [0.956, 0.911, 0.250], [0.044, 0.089, 0.750], [0.893, 0.786, 0.549], [0.756, 0.511, 0.250], [0.107, 0.214, 0.049], [0.244, 0.489, 0.750], [0.893, 0.786, 0.951], [0.107, 0.214, 0.451]], "sg": "Cmcm", "delta_e_f_ev_per_fu": -2.14}



[11]
{"formula": "SrMgZn2", "functional": "PBE-GGA", "state": "relaxed", "cell": [[5.006, 0.000, 0.000], [0.000, 5.006, 0.000], [2.503, 2.503, 9.341]], "species": ["Zn", "Zn", "Zn", "Zn", "Mg", "Mg", "Sr", "Sr"], "fractional_positions": [[0.347, 0.625, 0.250], [0.875, 0.653, 0.750], [0.375, 0.597, 0.750], [0.403, 0.125, 0.250], [0.500, 0.500, 0.000], [0.250, 0.750, 0.500], [0.000, 0.000, 0.000], [0.750, 0.250, 0.500]], "sg": "I-42d", "delta_e_f_ev_per_fu": 0.12}



[12]
{"formula": "SrMg4Zn2", "functional": "PBE-GGA", "state": "relaxed", "cell": [[-3.356, 2.705, -0.922], [-4.975, -4.200, 5.790], [2.675, 5.449, 6.251]], "species": ["Mg", "Mg", "Mg", "Mg", "Mg", "Mg", "Mg", "Mg", "Sr", "Sr", "Zn", "Zn", "Zn", "Zn"], "fractional_positions": [[0.000, 0.338, 0.087], [0.000, 0.913, 0.662], [0.000, 0.087, 0.338], [0.500, 0.838, 0.413], [0.500, 0.413, 0.838], [0.500, 0.162, 0.587], [0.000, 0.662, 0.913], [0.500, 0.587, 0.162], [0.500, 0.000, 0.000], [0.000, 0.500, 0.500], [0.000, 0.785, 0.215], [0.500, 0.715, 0.715], [0.000, 0.215, 0.785], [0.500, 0.285, 0.285]], "sg": "P4_2/mnm", "delta_e_f_ev_per_fu": -0.96}